Version P
KTcSe2N: optimized geometry, PBE.

Cell: 5.2360 5.2360 3.7745 Å, 90.00 90.00 90.00°
Fractional coordinates of all 5 atoms:
K 0.0000 0.0000 0.0000
Tc 0.5000 0.5000 0.5000
Se 0.0000 0.5000 0.5000
Se 0.5000 0.0000 0.5000
N 0.5000 0.5000 0.0000

Computed properties:
Space group: No. 123
Total magnetization in μB/cell: 0.17
Calculated volume in Å³ per atom: 20.70
Density in g/cm3: 5.0
Crystal system: tetragonal



Version Q
KTcSe2N: optimized geometry, PBE.

Cell: 5.6756 5.6756 4.6968 Å, 90.00 90.00 90.00°
Fractional coordinates of all 5 atoms:
K 0.0000 0.0000 0.0000
Tc 0.5000 0.5000 0.5000
Se 0.0000 0.5000 0.0000
Se 0.5000 0.0000 0.0000
N 0.0000 0.0000 0.5000

Computed properties:
Space group: No. 123
Total magnetization in μB/cell: 7.24
Calculated volume in Å³ per atom: 30.26
Density in g/cm3: 3.4
Crystal system: tetragonal



Going by the computed energies, the most stable comes first: version P, version Q.



Version P
KTeSe2N: optimized geometry, PBE.

Cell: 5.5356 5.5356 4.2808 Å, 90.00 90.00 90.00°
Fractional coordinates of all 5 atoms:
K 0.0000 0.0000 0.0000
Te 0.5000 0.5000 0.5000
Se 0.0000 0.5000 0.5000
Se 0.5000 0.0000 0.5000
N 0.5000 0.5000 0.0000

Computed properties:
Space group: No. 123
Total magnetization in μB/cell: 1.83
Calculated volume in Å³ per atom: 26.24
Density in g/cm3: 4.3
Crystal system: tetragonal



Version Q
KTeSe2N: optimized geometry, PBE.

Cell: 5.8025 5.8025 4.7490 Å, 90.00 90.00 90.00°
Fractional coordinates of all 5 atoms:
K 0.0000 0.0000 0.0000
Te 0.5000 0.5000 0.5000
Se 0.0000 0.5000 0.0000
Se 0.5000 0.0000 0.0000
N 0.0000 0.0000 0.5000

Computed properties:
Space group: No. 123
Total magnetization in μB/cell: 3.24
Calculated volume in Å³ per atom: 31.98
Density in g/cm3: 3.5
Crystal system: tetragonal



Going by the computed energies, the most stable comes first: version P, version Q.



Version P
KTlSeN2: optimized geometry, PBE.

Cell: 4.7081 4.7081 5.6107 Å, 90.00 90.00 90.00°
Fractional coordinates of all 5 atoms:
K 0.0000 0.0000 0.0000
Tl 0.5000 0.5000 0.5000
Se 0.5000 0.5000 0.0000
N 0.0000 0.5000 0.5000
N 0.5000 0.0000 0.5000

Computed properties:
Space group: No. 123
Total magnetization in μB/cell: 4.07
Calculated volume in Å³ per atom: 24.87
Density in g/cm3: 4.7
Crystal system: tetragonal



Version Q
KTlSeN2: optimized geometry, PBE.

Cell: 5.1167 5.1167 6.3452 Å, 90.00 90.00 90.00°
Fractional coordinates of all 5 atoms:
K 0.0000 0.0000 0.0000
Tl 0.5000 0.5000 0.5000
Se 0.0000 0.0000 0.5000
N 0.0000 0.5000 0.0000
N 0.5000 0.0000 0.0000

Computed properties:
Space group: No. 123
Total magnetization in μB/cell: 6.01
Calculated volume in Å³ per atom: 33.22
Density in g/cm3: 3.5
Crystal system: tetragonal



Going by the computed energies, the most stable comes first: version P, version Q.



Version P
KWSe2N: optimized geometry, PBE.

Cell: 5.6122 5.6122 4.5315 Å, 90.00 90.00 90.00°
Fractional coordinates of all 5 atoms:
K 0.0000 0.0000 0.0000
W 0.5000 0.5000 0.5000
Se 0.0000 0.5000 0.0000
Se 0.5000 0.0000 0.0000
N 0.0000 0.0000 0.5000

Computed properties:
Space group: No. 123
Total magnetization in μB/cell: 5.96
Calculated volume in Å³ per atom: 28.55
Density in g/cm3: 4.6
Crystal system: tetragonal



Version Q
KWSe2N: optimized geometry, PBE.

Cell: 5.1834 5.1834 3.8875 Å, 90.00 90.00 90.00°
Fractional coordinates of all 5 atoms:
K 0.0000 0.0000 0.0000
W 0.5000 0.5000 0.5000
Se 0.0000 0.5000 0.5000
Se 0.5000 0.0000 0.5000
N 0.5000 0.5000 0.0000

Computed properties:
Space group: No. 123
Total magnetization in μB/cell: 0.00
Calculated volume in Å³ per atom: 20.89
Density in g/cm3: 6.3
Crystal system: tetragonal



Going by the computed energies, the most stable comes first: version Q, version P.



Version P
KYSeN2: optimized geometry, PBE.

Cell: 4.7312 4.7312 5.6332 Å, 90.00 90.00 90.00°
Fractional coordinates of all 5 atoms:
K 0.0000 0.0000 0.0000
Y 0.5000 0.5000 0.5000
Se 0.5000 0.5000 0.0000
N 0.0000 0.5000 0.5000
N 0.5000 0.0000 0.5000

Computed properties:
Space group: No. 123
Total magnetization in μB/cell: 4.01
Calculated volume in Å³ per atom: 25.22
Density in g/cm3: 3.1
Crystal system: tetragonal



Version Q
KYSeN2: optimized geometry, PBE.

Cell: 4.3508 4.3508 5.7056 Å, 90.00 90.00 90.00°
Fractional coordinates of all 5 atoms:
K 0.0000 0.0000 0.0000
Y 0.5000 0.5000 0.5000
Se 0.0000 0.0000 0.5000
N 0.0000 0.5000 0.0000
N 0.5000 0.0000 0.0000

Computed properties:
Space group: No. 123
Total magnetization in μB/cell: 2.01
Calculated volume in Å³ per atom: 21.60
Density in g/cm3: 3.6
Crystal system: tetragonal



Going by the computed energies, the most stable comes first: version P, version Q.



Version P
KYSe2N: optimized geometry, PBE.

Cell: 5.5540 5.5540 4.5207 Å, 90.00 90.00 90.00°
Fractional coordinates of all 5 atoms:
K 0.0000 0.0000 0.0000
Y 0.5000 0.5000 0.5000
Se 0.0000 0.5000 0.0000
Se 0.5000 0.0000 0.0000
N 0.0000 0.0000 0.5000

Computed properties:
Space group: No. 123
Total magnetization in μB/cell: 2.86
Calculated volume in Å³ per atom: 27.89
Density in g/cm3: 3.6
Crystal system: tetragonal



Version Q
KYSe2N: optimized geometry, PBE.

Cell: 5.5981 5.5981 4.6956 Å, 90.00 90.00 90.00°
Fractional coordinates of all 5 atoms:
K 0.0000 0.0000 0.0000
Y 0.5000 0.5000 0.5000
Se 0.0000 0.5000 0.5000
Se 0.5000 0.0000 0.5000
N 0.5000 0.5000 0.0000

Computed properties:
Space group: No. 123
Total magnetization in μB/cell: 2.51
Calculated volume in Å³ per atom: 29.43
Density in g/cm3: 3.4
Crystal system: tetragonal



Going by the computed energies, the most stable comes first: version Q, version P.



Version P
KZnSe2N: optimized geometry, PBE.

Cell: 5.6811 5.6811 3.6561 Å, 90.00 90.00 90.00°
Fractional coordinates of all 5 atoms:
K 0.0000 0.0000 0.0000
Zn 0.5000 0.5000 0.5000
Se 0.0000 0.5000 0.5000
Se 0.5000 0.0000 0.5000
N 0.5000 0.5000 0.0000

Computed properties:
Space group: No. 123
Total magnetization in μB/cell: 2.00
Calculated volume in Å³ per atom: 23.60
Density in g/cm3: 3.9
Crystal system: tetragonal



Version Q
KZnSe2N: optimized geometry, PBE.

Cell: 6.2527 6.2527 5.3128 Å, 90.00 90.00 90.00°
Fractional coordinates of all 5 atoms:
K 0.0000 0.0000 0.0000
Zn 0.5000 0.5000 0.5000
Se 0.0000 0.5000 0.0000
Se 0.5000 0.0000 0.0000
N 0.0000 0.0000 0.5000

Computed properties:
Space group: No. 123
Total magnetization in μB/cell: 6.01
Calculated volume in Å³ per atom: 41.54
Density in g/cm3: 2.2
Crystal system: tetragonal



Going by the computed energies, the most stable comes first: version P, version Q.



Version P
KZrSeN2: optimized geometry, PBE.

Cell: 4.1856 4.1856 5.3985 Å, 90.00 90.00 90.00°
Fractional coordinates of all 5 atoms:
K 0.0000 0.0000 0.0000
Zr 0.5000 0.5000 0.5000
Se 0.0000 0.0000 0.5000
N 0.0000 0.5000 0.0000
N 0.5000 0.0000 0.0000

Computed properties:
Space group: No. 123
Total magnetization in μB/cell: 0.56
Calculated volume in Å³ per atom: 18.92
Density in g/cm3: 4.2
Crystal system: tetragonal



Version Q
KZrSeN2: optimized geometry, PBE.

Cell: 4.4329 4.4329 5.3681 Å, 90.00 90.00 90.00°
Fractional coordinates of all 5 atoms:
K 0.0000 0.0000 0.0000
Zr 0.5000 0.5000 0.5000
Se 0.5000 0.5000 0.0000
N 0.0000 0.5000 0.5000
N 0.5000 0.0000 0.5000

Computed properties:
Space group: No. 123
Total magnetization in μB/cell: 3.01
Calculated volume in Å³ per atom: 21.10
Density in g/cm3: 3.7
Crystal system: tetragonal



Going by the computed energies, the most stable comes first: version Q, version P.



Version P
K2SiN: optimized geometry, PBE.

Cell: 5.3310 5.3310 5.3310 Å, 60.00 60.00 60.00°
Fractional coordinates of all 4 atoms:
K 0.2500 0.2500 0.2500
K 0.7500 0.7500 0.7500
Si 0.0000 0.0000 0.0000
N 0.5000 0.5000 0.5000

Computed properties:
Space group: No. 225
Total magnetization in μB/cell: 0.84
Calculated volume in Å³ per atom: 26.78
Density in g/cm3: 1.9
Crystal system: cubic



Version Q
K2SiN: optimized geometry, PBE.

Cell: 8.5905 8.5905 8.5905 Å, 92.49 92.49 155.93°
Fractional coordinates of all 8 atoms:
K 0.3750 0.1607 0.2857
K 0.8393 0.1250 0.2143
K 0.8750 0.0893 0.7143
K 0.9107 0.6250 0.7857
Si 0.2500 0.7500 0.5000
Si 0.5000 0.5000 0.0000
N 0.0000 0.0000 0.0000
N 0.7500 0.2500 0.5000

Computed properties:
Space group: No. 122
Total magnetization in μB/cell: 1.11
Calculated volume in Å³ per atom: 31.61
Density in g/cm3: 1.6
Crystal system: tetragonal



Going by the computed energies, the most stable comes first: version Q, version P.



Version P
K2SrSiN: optimized geometry, PBE.

Cell: 7.5073 7.5073 3.5695 Å, 90.00 90.00 90.00°
Fractional coordinates of all 5 atoms:
K 0.0000 0.5000 0.0000
K 0.5000 0.0000 0.0000
Sr 0.0000 0.0000 0.5000
Si 0.5000 0.5000 0.0000
N 0.5000 0.5000 0.5000

Computed properties:
Space group: No. 123
Total magnetization in μB/cell: 0.00
Calculated volume in Å³ per atom: 40.24
Density in g/cm3: 1.7
Crystal system: tetragonal



Version Q
K2SrSiN: optimized geometry, PBE.

Cell: 6.4268 6.4268 6.0019 Å, 90.00 90.00 90.00°
Fractional coordinates of all 5 atoms:
K 0.0000 0.5000 0.0000
K 0.5000 0.0000 0.0000
Sr 0.0000 0.0000 0.5000
Si 0.0000 0.0000 0.0000
N 0.5000 0.5000 0.5000

Computed properties:
Space group: No. 123
Total magnetization in μB/cell: 3.00
Calculated volume in Å³ per atom: 49.58
Density in g/cm3: 1.4
Crystal system: tetragonal



Going by the computed energies, the most stable comes first: version P, version Q.



Version P
KSiTe2N: optimized geometry, PBE.

Cell: 6.0851 6.0851 3.2883 Å, 90.00 90.00 90.00°
Fractional coordinates of all 5 atoms:
K 0.0000 0.0000 0.0000
Si 0.5000 0.5000 0.5000
Te 0.0000 0.5000 0.5000
Te 0.5000 0.0000 0.5000
N 0.5000 0.5000 0.0000

Computed properties:
Space group: No. 123
Total magnetization in μB/cell: 0.00
Calculated volume in Å³ per atom: 24.35
Density in g/cm3: 4.6
Crystal system: tetragonal



Version Q
KSiTe2N: optimized geometry, PBE.

Cell: 6.0726 6.0726 4.7830 Å, 90.00 90.00 90.00°
Fractional coordinates of all 5 atoms:
K 0.0000 0.0000 0.0000
Si 0.5000 0.5000 0.5000
Te 0.0000 0.5000 0.0000
Te 0.5000 0.0000 0.0000
N 0.0000 0.0000 0.5000

Computed properties:
Space group: No. 123
Total magnetization in μB/cell: 2.93
Calculated volume in Å³ per atom: 35.28
Density in g/cm3: 3.2
Crystal system: tetragonal



Going by the computed energies, the most stable comes first: version P, version Q.



Version P
KSiTeN2: optimized geometry, PBE.

Cell: 4.7271 4.7271 6.6677 Å, 90.00 90.00 90.00°
Fractional coordinates of all 5 atoms:
K 0.0000 0.0000 0.0000
Si 0.5000 0.5000 0.5000
Te 0.0000 0.0000 0.5000
N 0.0000 0.5000 0.0000
N 0.5000 0.0000 0.0000

Computed properties:
Space group: No. 123
Total magnetization in μB/cell: 5.00
Calculated volume in Å³ per atom: 29.80
Density in g/cm3: 2.5
Crystal system: tetragonal



Version Q
KSiTeN2: optimized geometry, PBE.

Cell: 4.0984 4.0984 5.3953 Å, 90.00 90.00 90.00°
Fractional coordinates of all 5 atoms:
K 0.0000 0.0000 0.0000
Si 0.5000 0.5000 0.5000
Te 0.5000 0.5000 0.0000
N 0.0000 0.5000 0.5000
N 0.5000 0.0000 0.5000

Computed properties:
Space group: No. 123
Total magnetization in μB/cell: 2.79
Calculated volume in Å³ per atom: 18.13
Density in g/cm3: 4.1
Crystal system: tetragonal



Going by the computed energies, the most stable comes first: version Q, version P.



Version P
KSr2N2: optimized geometry, PBE.

Cell: 7.6959 7.6959 3.1880 Å, 90.00 90.00 90.00°
Fractional coordinates of all 10 atoms:
K 0.0000 0.0000 0.0000
K 0.5000 0.5000 0.0000
Sr 0.1365 0.3635 0.0000
Sr 0.3635 0.8635 0.0000
Sr 0.6365 0.1365 0.0000
Sr 0.8635 0.6365 0.0000
N 0.1662 0.6662 0.5000
N 0.3338 0.1662 0.5000
N 0.6662 0.8338 0.5000
N 0.8338 0.3338 0.5000

Computed properties:
Space group: No. 127
Total magnetization in μB/cell: 0.00
Calculated volume in Å³ per atom: 18.88
Density in g/cm3: 4.3
Crystal system: tetragonal



Version Q
KSr2N2: optimized geometry, PBE.

Cell: 6.5709 6.5709 6.5709 Å, 136.47 136.47 63.25°
Fractional coordinates of all 5 atoms:
K 0.0000 0.0000 0.0000
Sr 0.3133 0.3133 0.0000
Sr 0.6867 0.6867 0.0000
N 0.2500 0.7500 0.5000
N 0.7500 0.2500 0.5000

Computed properties:
Space group: No. 139
Total magnetization in μB/cell: 0.14
Calculated volume in Å³ per atom: 26.57
Density in g/cm3: 3.0
Crystal system: tetragonal



Going by the computed energies, the most stable comes first: version Q, version P.



Version P
KTcTeN2: optimized geometry, PBE.

Cell: 4.6914 4.6914 6.8852 Å, 90.00 90.00 90.00°
Fractional coordinates of all 5 atoms:
K 0.0000 0.0000 0.0000
Tc 0.5000 0.5000 0.5000
Te 0.0000 0.0000 0.5000
N 0.0000 0.5000 0.0000
N 0.5000 0.0000 0.0000

Computed properties:
Space group: No. 123
Total magnetization in μB/cell: 9.72
Calculated volume in Å³ per atom: 30.31
Density in g/cm3: 3.2
Crystal system: tetragonal



Version Q
KTcTeN2: optimized geometry, PBE.

Cell: 4.0754 4.0754 5.5881 Å, 90.00 90.00 90.00°
Fractional coordinates of all 5 atoms:
K 0.0000 0.0000 0.0000
Tc 0.5000 0.5000 0.5000
Te 0.5000 0.5000 0.0000
N 0.0000 0.5000 0.5000
N 0.5000 0.0000 0.5000

Computed properties:
Space group: No. 123
Total magnetization in μB/cell: 0.00
Calculated volume in Å³ per atom: 18.56
Density in g/cm3: 5.2
Crystal system: tetragonal



Going by the computed energies, the most stable comes first: version Q, version P.